A relaxed structure of KLiNpF6. Source: Alexandria, functional GGA-PBE.

```
KLiNpF6
1.0
-3.145 -1.154 4.584
2.466 -4.221 -2.887
9.280 0.910 6.597
K Li Np F
2 2 2 12
Direct
0.000 0.000 0.000 K
0.000 0.000 0.500 K
0.333 0.667 0.250 Li
0.667 0.333 0.750 Li
0.667 0.333 0.250 Np
0.333 0.667 0.750 Np
0.628 0.636 0.149 F
0.009 0.372 0.149 F
0.372 0.009 0.649 F
0.991 0.628 0.851 F
0.364 0.372 0.351 F
0.009 0.636 0.351 F
0.636 0.009 0.851 F
0.628 0.991 0.351 F
0.991 0.364 0.649 F
0.364 0.991 0.149 F
0.636 0.628 0.649 F
0.372 0.364 0.851 F
```

Computed properties:
* magnetization: 6.0 μB/cell
* total energy: -56.3 eV/f.u.
* energy relative to the elements, uncorrected: -3.240 eV/atom